1.
# GGA-PBE MnTlAgPd, relaxed
data_MnTlAgPd
_cell_length_a 6.598
_cell_length_b 6.598
_cell_length_c 6.598
_cell_angle_alpha 90.00
_cell_angle_beta 90.00
_cell_angle_gamma 90.00
_space_group_name_H-M_alt 'F -4 3 m'
_space_group_IT_number 216
_space_group_name_Hall 'F -4 2 3'
loop_
_atom_site_label
_atom_site_fract_x
_atom_site_fract_y
_atom_site_fract_z
_atom_site_occupancy
Mn1 0.000 0.000 0.000 1
Tl1 0.000 0.000 0.500 1
Ag1 0.250 0.250 0.750 1
Pd1 0.250 0.250 0.250 1
# energy	-4.809	eV/atom
# ΔE_f	0.09	eV per atom



2.
# GGA-PBE PmMnAg4, relaxed
data_PmMnAg4
_cell_length_a 7.894
_cell_length_b 7.894
_cell_length_c 7.894
_cell_angle_alpha 90.00
_cell_angle_beta 90.00
_cell_angle_gamma 90.00
_space_group_name_H-M_alt 'F -4 3 m'
_space_group_IT_number 216
_space_group_name_Hall 'F -4 2 3'
loop_
_atom_site_label
_atom_site_fract_x
_atom_site_fract_y
_atom_site_fract_z
_atom_site_occupancy
Pm1 0.000 0.000 0.000 1
Mn1 0.250 0.250 0.750 1
Ag1 0.124 0.124 0.376 1
# energy	-4.168	eV/atom
# ΔE_f	0.05	eV per atom



3.
# GGA-PBE Pm2MnAg, relaxed
data_Pm2MnAg
_cell_length_a 3.666
_cell_length_b 3.666
_cell_length_c 7.457
_cell_angle_alpha 90.00
_cell_angle_beta 90.00
_cell_angle_gamma 90.00
_space_group_name_H-M_alt 'P 4/m m m'
_space_group_IT_number 123
_space_group_name_Hall '-P 4 2'
loop_
_atom_site_label
_atom_site_fract_x
_atom_site_fract_y
_atom_site_fract_z
_atom_site_occupancy
Pm1 0.000 0.000 0.240 1
Mn1 0.500 0.500 0.000 1
Ag1 0.500 0.500 0.500 1
# energy	-5.392	eV/atom
# energy relative to the lowest polymorph listed for this composition	0.000	eV per atom
# ΔE_f	-0.01	eV per atom



4.
# GGA-PBE PmPrMnAg, relaxed
data_PmPrMnAg
_cell_length_a 7.438
_cell_length_b 7.438
_cell_length_c 7.438
_cell_angle_alpha 90.00
_cell_angle_beta 90.00
_cell_angle_gamma 90.00
_space_group_name_H-M_alt 'F -4 3 m'
_space_group_IT_number 216
_space_group_name_Hall 'F -4 2 3'
loop_
_atom_site_label
_atom_site_fract_x
_atom_site_fract_y
_atom_site_fract_z
_atom_site_occupancy
Pm1 0.000 0.000 0.000 1
Pr1 0.000 0.000 0.500 1
Mn1 0.250 0.250 0.250 1
Ag1 0.250 0.250 0.750 1
# energy	-5.337	eV/atom
# ΔE_f	0.05	eV per atom



5.
# GGA-PBE PmMnAgRh, relaxed
data_PmMnAgRh
_cell_length_a 6.811
_cell_length_b 6.811
_cell_length_c 6.811
_cell_angle_alpha 90.00
_cell_angle_beta 90.00
_cell_angle_gamma 90.00
_space_group_name_H-M_alt 'F -4 3 m'
_space_group_IT_number 216
_space_group_name_Hall 'F -4 2 3'
loop_
_atom_site_label
_atom_site_fract_x
_atom_site_fract_y
_atom_site_fract_z
_atom_site_occupancy
Pm1 0.000 0.000 0.000 1
Mn1 0.000 0.000 0.500 1
Ag1 0.250 0.250 0.250 1
Rh1 0.250 0.250 0.750 1
# energy	-6.132	eV/atom
# ΔE_f	-0.10	eV per atom



6.
# GGA-PBE Pm3MnAg3S8, relaxed
data_Pm3MnAg3S8
_cell_length_a 13.315
_cell_length_b 8.016
_cell_length_c 7.799
_cell_angle_alpha 90.00
_cell_angle_beta 123.29
_cell_angle_gamma 90.00
_space_group_name_H-M_alt 'C 1 2/m 1'
_space_group_IT_number 12
_space_group_name_Hall '-C 2y'
loop_
_atom_site_label
_atom_site_fract_x
_atom_site_fract_y
_atom_site_fract_z
_atom_site_occupancy
Pm1 0.000 0.000 0.000 1
Pm2 0.250 0.250 0.500 1
Mn1 0.000 0.500 0.000 1
Ag1 0.000 0.500 0.500 1
Ag2 0.250 0.250 0.000 1
S1 0.002 0.285 0.784 1
S2 0.218 0.500 0.215 1
S3 0.249 0.000 0.253 1
# energy	-5.376	eV/atom



7.
# GGA-PBE TbPmMnAg, relaxed
data_TbPmMnAg
_cell_length_a 7.303
_cell_length_b 7.303
_cell_length_c 7.303
_cell_angle_alpha 90.00
_cell_angle_beta 90.00
_cell_angle_gamma 90.00
_space_group_name_H-M_alt 'F -4 3 m'
_space_group_IT_number 216
_space_group_name_Hall 'F -4 2 3'
loop_
_atom_site_label
_atom_site_fract_x
_atom_site_fract_y
_atom_site_fract_z
_atom_site_occupancy
Tb1 0.000 0.000 0.000 1
Pm1 0.000 0.000 0.500 1
Mn1 0.250 0.250 0.250 1
Ag1 0.250 0.250 0.750 1
# energy	-5.331	eV/atom
# ΔE_f	0.02	eV per atom



8.
# GGA-PBE PmYMnAg, relaxed
data_PmYMnAg
_cell_length_a 7.304
_cell_length_b 7.304
_cell_length_c 7.304
_cell_angle_alpha 90.00
_cell_angle_beta 90.00
_cell_angle_gamma 90.00
_space_group_name_H-M_alt 'F -4 3 m'
_space_group_IT_number 216
_space_group_name_Hall 'F -4 2 3'
loop_
_atom_site_label
_atom_site_fract_x
_atom_site_fract_y
_atom_site_fract_z
_atom_site_occupancy
Pm1 0.000 0.000 0.000 1
Y1 0.000 0.000 0.500 1
Mn1 0.250 0.250 0.250 1
Ag1 0.250 0.250 0.750 1
# energy	-5.793	eV/atom
# ΔE_f	0.02	eV per atom



9.
# GGA-PBE Pr2MnAg, relaxed
data_Pr2MnAg
_cell_length_a 3.715
_cell_length_b 3.715
_cell_length_c 7.593
_cell_angle_alpha 90.00
_cell_angle_beta 90.00
_cell_angle_gamma 90.00
_space_group_name_H-M_alt 'P 4/m m m'
_space_group_IT_number 123
_space_group_name_Hall '-P 4 2'
loop_
_atom_site_label
_atom_site_fract_x
_atom_site_fract_y
_atom_site_fract_z
_atom_site_occupancy
Pr1 0.000 0.000 0.241 1
Mn1 0.500 0.500 0.000 1
Ag1 0.500 0.500 0.500 1
# energy	-5.373	eV/atom
# ΔE_f	0.02	eV per atom



10.
# GGA-PBE PrMnAg4, relaxed
data_PrMnAg4
_cell_length_a 7.933
_cell_length_b 7.933
_cell_length_c 7.933
_cell_angle_alpha 90.00
_cell_angle_beta 90.00
_cell_angle_gamma 90.00
_space_group_name_H-M_alt 'F -4 3 m'
_space_group_IT_number 216
_space_group_name_Hall 'F -4 2 3'
loop_
_atom_site_label
_atom_site_fract_x
_atom_site_fract_y
_atom_site_fract_z
_atom_site_occupancy
Pr1 0.000 0.000 0.000 1
Mn1 0.250 0.250 0.750 1
Ag1 0.124 0.124 0.376 1
# energy	-4.172	eV/atom
# ΔE_f	0.05	eV per atom



11.
# GGA-PBE TbPrMnAg, relaxed
data_TbPrMnAg
_cell_length_a 7.360
_cell_length_b 7.360
_cell_length_c 7.360
_cell_angle_alpha 90.00
_cell_angle_beta 90.00
_cell_angle_gamma 90.00
_space_group_name_H-M_alt 'F -4 3 m'
_space_group_IT_number 216
_space_group_name_Hall 'F -4 2 3'
loop_
_atom_site_label
_atom_site_fract_x
_atom_site_fract_y
_atom_site_fract_z
_atom_site_occupancy
Tb1 0.000 0.000 0.000 1
Pr1 0.000 0.000 0.500 1
Mn1 0.250 0.250 0.750 1
Ag1 0.250 0.250 0.250 1
# energy	-5.322	eV/atom
# ΔE_f	0.04	eV per atom



12.
# GGA-PBE MnAgPt, relaxed
data_MnAgPt
_cell_length_a 4.4354
_cell_length_b 4.4354
_cell_length_c 2.8346
_cell_angle_alpha 90.00
_cell_angle_beta 90.00
_cell_angle_gamma 120.00
_space_group_name_H-M_alt 'P 3 m 1'
_space_group_IT_number 156
_space_group_name_Hall 'P 3 -2"'
loop_
_atom_site_label
_atom_site_fract_x
_atom_site_fract_y
_atom_site_fract_z
_atom_site_occupancy
Mn1 0.0000 0.0000 0.0000 1
Ag1 0.3333 0.6667 0.6775 1
Pt1 0.6667 0.3333 0.2653 1
# energy	-6.042	eV/atom
# energy relative to the lowest polymorph listed for this composition	0.076	eV per atom
# ΔE_f	-0.02	eV per atom



Which value of energy does entry 10 give?
-4.172 eV/atom



What is the energy in the tenth record?
-4.172 eV/atom